Record 1
DFT (PBE-GGA) results for a relaxed structure of Li4Sc.

Calculated formation energy ... 0.74 eV per atom
Spin magnetization ... 1.5 μB/f.u.
N(E_F) ... 5.483 states/eV per cell

a b c (Å): 5.8852 5.8852 5.8852
angles (deg): 109.47 109.47 109.47
Fractional positions:
Li (0.0000, 0.0000, 0.5000)
Li (0.0000, 0.5000, 0.0000)
Li (0.5000, 0.0000, 0.0000)
Li (0.5000, 0.5000, 0.5000)
Sc (0.0000, 0.0000, 0.0000)



Record 2
DFT (PBE-GGA) results for a relaxed structure of LiSc3.

Calculated formation energy ... 0.22 eV per atom
Spin magnetization ... 0.0 μB/f.u.
N(E_F) ... 4.281 states/eV per cell

a b c (Å): 5.0636 5.0636 5.0636
angles (deg): 60.00 60.00 60.00
Fractional positions:
Li (0.0000, 0.0000, 0.0000)
Sc (0.2500, 0.2500, 0.2500)
Sc (0.5000, 0.5000, 0.5000)
Sc (0.7500, 0.7500, 0.7500)



Record 3
DFT (PBE-GGA) results for a relaxed structure of Li2Sc.

Calculated formation energy ... 0.14 eV per atom
Spin magnetization ... 0.2 μB/f.u.
N(E_F) ... 6.217 states/eV per cell

a b c (Å): 5.6747 5.6747 7.4893
angles (deg): 108.61 108.61 33.34
Fractional positions:
Li (0.0289, 0.0289, 0.2412)
Li (0.3436, 0.3436, 0.9583)
Li (0.6564, 0.6564, 0.0417)
Li (0.9711, 0.9711, 0.7588)
Sc (0.3370, 0.3370, 0.3976)
Sc (0.6630, 0.6630, 0.6024)



| no. | total DFT energy (no corrections) (eV per atom) |
| --- | --- |
| 1 | -2.05 |
| 2 | -5.01 |
| 3 | -3.24 |